# LaCr PBE-GGA relaxed
data_LaCr
_space_group_name_H-M_alt 'C 1 2/m 1'
_space_group_IT_number 12
_space_group_name_Hall '-C 2y'
_cell_length_a 11.9830
_cell_length_b 3.6990
_cell_length_c 5.1341
_cell_angle_alpha 90.00
_cell_angle_beta 115.25
_cell_angle_gamma 90.00
loop_
_atom_site_label
_atom_site_type_symbol
_atom_site_fract_x
_atom_site_fract_y
_atom_site_fract_z
La1 La 0.1084 0.0000 0.3580
Cr1 Cr 0.1511 0.5000 0.9012
# - energy (eV/atom) = -6.706
# - energy of formation (kJ/mol of formula units) = 110
# - size of the total moment (μB/f.u.) = 3.415
# - Fermi-level density of states (states/eV per cell) = 8.4
# - mass density (Mg/m³) = 6.161



# La3Cr PBE-GGA relaxed
data_La3Cr
_space_group_name_H-M_alt 'R -3 m'
_space_group_IT_number 166
_space_group_name_Hall '-R 3 2"'
_cell_length_a 3.6992
_cell_length_b 3.6992
_cell_length_c 32.3088
_cell_angle_alpha 90.00
_cell_angle_beta 90.00
_cell_angle_gamma 120.00
loop_
_atom_site_label
_atom_site_type_symbol
_atom_site_fract_x
_atom_site_fract_y
_atom_site_fract_z
La1 La 0.0000 0.0000 0.0000
La2 La 0.0000 0.0000 0.2353
Cr1 Cr 0.0000 0.0000 0.5000
# - energy (eV/atom) = -5.727
# - energy of formation (kJ/mol of formula units) = 144
# - size of the total moment (μB/f.u.) = 3.455
# - Fermi-level density of states (states/eV per cell) = 16.1
# - mass density (Mg/m³) = 6.098



# La3Cr PBE-GGA relaxed
data_La3Cr
_space_group_name_H-M_alt 'C m m m'
_space_group_IT_number 65
_space_group_name_Hall '-C 2 2'
_cell_length_a 7.4674
_cell_length_b 8.9640
_cell_length_c 3.7534
_cell_angle_alpha 90.00
_cell_angle_beta 90.00
_cell_angle_gamma 90.00
loop_
_atom_site_label
_atom_site_type_symbol
_atom_site_fract_x
_atom_site_fract_y
_atom_site_fract_z
La1 La 0.0000 0.0000 0.0000
La2 La 0.2500 0.2500 0.5000
Cr1 Cr 0.0000 0.5000 0.0000
# - energy (eV/atom) = -5.737
# - energy of formation (kJ/mol of formula units) = 141
# - size of the total moment (μB/f.u.) = 3.787
# - Fermi-level density of states (states/eV per cell) = 9.4
# - mass density (Mg/m³) = 6.196



# La3Cr2 PBE-GGA relaxed
data_La3Cr2
_space_group_name_H-M_alt 'R -3 m'
_space_group_IT_number 166
_space_group_name_Hall '-R 3 2"'
_cell_length_a 3.6931
_cell_length_b 3.6931
_cell_length_c 37.3502
_cell_angle_alpha 90.00
_cell_angle_beta 90.00
_cell_angle_gamma 120.00
loop_
_atom_site_label
_atom_site_type_symbol
_atom_site_fract_x
_atom_site_fract_y
_atom_site_fract_z
La1 La 0.0000 0.0000 0.0000
La2 La 0.0000 0.0000 0.2124
Cr1 Cr 0.0000 0.0000 0.3954
# - energy (eV/atom) = -6.211
# - excess energy over the best structure of this formula in the dataset (eV per atom) = 0.1324
# - energy of formation (kJ/mol of formula units) = 287
# - size of the total moment (μB/f.u.) = 7.074
# - Fermi-level density of states (states/eV per cell) = 17.2
# - mass density (Mg/m³) = 5.880



# LaCr PBE-GGA relaxed
data_LaCr
_space_group_name_H-M_alt 'P m m n'
_space_group_IT_number 59
_cell_length_a 4.9741
_cell_length_b 10.4777
_cell_length_c 5.6666
_cell_angle_alpha 90.00
_cell_angle_beta 90.00
_cell_angle_gamma 90.00
loop_
_space_group_symop_operation_xyz
'x,y,z'
'-x,-y,-z'
'-x+1/2,-y+1/2,z'
'x+1/2,y+1/2,-z'
'x+1/2,-y,-z'
'-x+1/2,y,z'
'-x,y+1/2,-z'
'x,-y+1/2,z'
loop_
_atom_site_label
_atom_site_type_symbol
_atom_site_fract_x
_atom_site_fract_y
_atom_site_fract_z
La1 La 0.2500 0.0769 0.1611
La2 La 0.2500 0.7500 0.3914
Cr1 Cr 0.2500 0.0388 0.5701
Cr2 Cr 0.2500 0.2500 0.6880
# - energy (eV/atom) = -6.635
# - energy of formation (kJ/mol of formula units) = 124
# - size of the total moment (μB/f.u.) = 0.000
# - Fermi-level density of states (states/eV per cell) = 18.4
# - mass density (Mg/m³) = 6.440



# La3Cr PBE-GGA relaxed
data_La3Cr
_space_group_name_H-M_alt 'P 63/m m c'
_space_group_IT_number 194
_space_group_name_Hall '-P 6c 2c'
_cell_length_a 7.2927
_cell_length_b 7.2927
_cell_length_c 5.3966
_cell_angle_alpha 90.00
_cell_angle_beta 90.00
_cell_angle_gamma 120.00
loop_
_atom_site_label
_atom_site_type_symbol
_atom_site_fract_x
_atom_site_fract_y
_atom_site_fract_z
La1 La 0.1784 0.3569 0.2500
Cr1 Cr 0.3333 0.6667 0.7500
# - energy (eV/atom) = -5.780
# - energy of formation (kJ/mol of formula units) = 124
# - size of the total moment (μB/f.u.) = 3.362
# - Fermi-level density of states (states/eV per cell) = 13.8
# - mass density (Mg/m³) = 6.263



# LaCr2 PBE-GGA relaxed
data_LaCr2
_space_group_name_H-M_alt 'P -6 2 m'
_space_group_IT_number 189
_space_group_name_Hall 'P -6 -2'
_cell_length_a 6.5700
_cell_length_b 6.5700
_cell_length_c 5.3183
_cell_angle_alpha 90.00
_cell_angle_beta 90.00
_cell_angle_gamma 120.00
loop_
_atom_site_label
_atom_site_type_symbol
_atom_site_fract_x
_atom_site_fract_y
_atom_site_fract_z
La1 La 0.0000 0.0000 0.0000
La2 La 0.3333 0.6667 0.5000
Cr1 Cr 0.0000 0.1923 0.5000
Cr2 Cr 0.0000 0.4954 0.0000
# - energy (eV/atom) = -7.121
# - energy of formation (kJ/mol of formula units) = 271
# - size of the total moment (μB/f.u.) = 3.238
# - Fermi-level density of states (states/eV per cell) = 12.1
# - mass density (Mg/m³) = 6.086



# LaCr PBE-GGA relaxed
data_LaCr
_space_group_name_H-M_alt 'R -3 m'
_space_group_IT_number 166
_space_group_name_Hall '-R 3 2"'
_cell_length_a 3.8993
_cell_length_b 3.8993
_cell_length_c 23.6286
_cell_angle_alpha 90.00
_cell_angle_beta 90.00
_cell_angle_gamma 120.00
loop_
_atom_site_label
_atom_site_type_symbol
_atom_site_fract_x
_atom_site_fract_y
_atom_site_fract_z
La1 La 0.0000 0.0000 0.0932
Cr1 Cr 0.0000 0.0000 0.3330
# - energy (eV/atom) = -6.892
# - energy of formation (kJ/mol of formula units) = 74
# - size of the total moment (μB/f.u.) = 0.000
# - Fermi-level density of states (states/eV per cell) = 17.0
# - mass density (Mg/m³) = 6.113



# LaCr PBE-GGA relaxed
data_LaCr
_space_group_name_H-M_alt 'P -6 m 2'
_space_group_IT_number 187
_space_group_name_Hall 'P -6 2'
_cell_length_a 3.4898
_cell_length_b 3.4898
_cell_length_c 4.9970
_cell_angle_alpha 90.00
_cell_angle_beta 90.00
_cell_angle_gamma 120.00
loop_
_atom_site_label
_atom_site_type_symbol
_atom_site_fract_x
_atom_site_fract_y
_atom_site_fract_z
La1 La 0.0000 0.0000 0.0000
Cr1 Cr 0.6667 0.3333 0.5000
# - energy (eV/atom) = -6.487
# - energy of formation (kJ/mol of formula units) = 152
# - size of the total moment (μB/f.u.) = 3.868
# - Fermi-level density of states (states/eV per cell) = 2.8
# - mass density (Mg/m³) = 6.015



# LaCr PBE-GGA relaxed
data_LaCr
_space_group_name_H-M_alt 'I -4 3 m'
_space_group_IT_number 217
_space_group_name_Hall 'I -4 2 3'
_cell_length_a 8.1669
_cell_length_b 8.1669
_cell_length_c 8.1669
_cell_angle_alpha 90.00
_cell_angle_beta 90.00
_cell_angle_gamma 90.00
loop_
_atom_site_label
_atom_site_type_symbol
_atom_site_fract_x
_atom_site_fract_y
_atom_site_fract_z
La1 La 0.2290 0.2290 0.7710
Cr1 Cr 0.1007 0.1007 0.1007
# - energy (eV/atom) = -6.202
# - energy of formation (kJ/mol of formula units) = 207
# - size of the total moment (μB/f.u.) = 0.000
# - Fermi-level density of states (states/eV per cell) = 25.7
# - mass density (Mg/m³) = 4.656



- What is the formula in the seventh record?
  LaCr2



Copy entry 1 word for word.
# LaCr PBE-GGA relaxed
data_LaCr
_space_group_name_H-M_alt 'C 1 2/m 1'
_space_group_IT_number 12
_space_group_name_Hall '-C 2y'
_cell_length_a 11.9830
_cell_length_b 3.6990
_cell_length_c 5.1341
_cell_angle_alpha 90.00
_cell_angle_beta 115.25
_cell_angle_gamma 90.00
loop_
_atom_site_label
_atom_site_type_symbol
_atom_site_fract_x
_atom_site_fract_y
_atom_site_fract_z
La1 La 0.1084 0.0000 0.3580
Cr1 Cr 0.1511 0.5000 0.9012
# - energy (eV/atom) = -6.706
# - energy of formation (kJ/mol of formula units) = 110
# - size of the total moment (μB/f.u.) = 3.415
# - Fermi-level density of states (states/eV per cell) = 8.4
# - mass density (Mg/m³) = 6.161



- Fermi-level density of states of number 5 (LaCr)?
  18.4 states/eV per cell